Record 1
Material: Th2Re3Si4
Method: DFT, PBE
State: relaxed

Cell lengths 5.690, 5.690, 6.776 Å; angles 100.56, 100.56, 124.29 degrees
Positions (direct):
Th (0.361, 0.361, 0.722)
Th (0.639, 0.639, 0.278)
Si (0.661, 0.017, 0.678)
Si (0.983, 0.339, 0.322)
Si (0.339, 0.983, 0.322)
Si (0.017, 0.661, 0.678)
Re (0.000, 0.500, 0.000)
Re (0.500, 0.000, 0.000)
Re (0.000, 0.000, 0.000)

Formation energy (no corrections) = -297 kJ/mol of formula units
Calculated total energy = -8.5504 eV/atom
Space-group type = No. 69
DOS(E_F) = 6.94 states/eV/f.u.

---

Record 2
Material: DyErPbSe
Method: DFT, PBE
State: relaxed

Cell lengths 4.276, 4.277, 6.015 Å; angles 90.00, 90.00, 90.00 degrees
Positions (direct):
Se (0.500, 0.392, 0.593)
Er (0.000, 0.892, 0.592)
Dy (0.500, 0.391, 0.093)
Pb (0.000, 0.891, 0.092)

Formation energy (no corrections) = -420 kJ/mol of formula units
Calculated total energy = -5.1769 eV/atom
Space-group type = No. 123
DOS(E_F) = 0.84 states/eV/f.u.

---

Record 3
Material: SmTmScIn
Method: DFT, PBE
State: relaxed

Cell lengths 5.328, 5.328, 5.328 Å; angles 120.00, 120.00, 90.00 degrees
Last column: magnetic moment on the atom in μB.
Positions (direct):
Sm (0.500, 0.500, 0.000)  0.40
In (0.000, 0.000, 0.000)  0.00
Sc (0.250, 0.750, 0.500)  0.36
Tm (0.750, 0.250, 0.500)  0.30

Calculated total energy = -4.6560 eV/atom
Formation enthalpy at 0 K = -91 meV per atom
Energy above the most stable polymorph in this dataset = 0.062 eV per atom
Space-group type = No. 216
DOS(E_F) = 5.97 states/eV/f.u.

---

Record 4
Material: NdGdHoAg
Method: DFT, PBE
State: relaxed

Cell lengths 5.422, 5.422, 5.422 Å; angles 60.00, 60.00, 60.00 degrees
Last column: magnetic moment on the atom in μB.
Positions (direct):
Ho (0.000, 0.000, 0.000)  0.22
Gd (0.750, 0.750, 0.750)  7.35
Ag (0.250, 0.250, 0.250)  0.01
Nd (0.500, 0.500, 0.500)  0.11

Calculated total energy = -6.4999 eV/atom
Formation enthalpy at 0 K = 70 meV per atom
Space-group type = No. 216
DOS(E_F) = 6.38 states/eV/f.u.

---

Record 5
Material: NdTh2Mg6
Method: DFT, PBE
State: relaxed

Cell lengths 6.253, 6.253, 6.253 Å; angles 94.14, 94.13, 94.13 degrees
Positions (direct):
Th (0.340, 0.340, 0.340)
Th (0.660, 0.660, 0.660)
Mg (0.500, 0.165, 0.835)
Mg (0.835, 0.500, 0.165)
Mg (0.165, 0.500, 0.835)
Mg (0.835, 0.165, 0.500)
Mg (0.165, 0.835, 0.500)
Mg (0.500, 0.835, 0.165)
Nd (0.000, 0.000, 0.000)

Calculated total energy = -3.2547 eV/atom
Formation enthalpy at 0 K = -13 meV per atom
Space-group type = No. 166
DOS(E_F) = 7.98 states/eV/f.u.

---

Record 6
Material: KYCd
Method: DFT, PBE
State: relaxed

Cell lengths 3.722, 3.722, 9.016 Å; angles 90.00, 90.00, 120.00 degrees
Last column: magnetic moment on the atom in μB.
Positions (direct):
Y (0.333, 0.667, 0.715)  0.10
K (0.667, 0.333, 0.308)  0.00
Cd (0.000, 0.000, 0.977)  0.00

Calculated total energy = -2.6496 eV/atom
Formation enthalpy at 0 K = 176 meV per atom
Energy above the most stable polymorph in this dataset = 0.105 eV per atom
Space-group type = No. 156
DOS(E_F) = 3.55 states/eV/f.u.

---

Record 7
Material: Dy2CrCd
Method: DFT, PBE
State: relaxed

Cell lengths 3.568, 3.568, 7.674 Å; angles 90.00, 90.00, 90.00 degrees
Last column: magnetic moment on the atom in μB.
Positions (direct):
Dy (0.000, 0.000, 0.227)  -0.08
Dy (0.000, 0.000, 0.773)  -0.08
Cr (0.500, 0.500, 0.000)  3.18
Cd (0.500, 0.500, 0.500)  0.01

Calculated total energy = -4.9196 eV/atom
Formation enthalpy at 0 K = 16 meV per atom
Energy above the most stable polymorph in this dataset = 0.000 eV per atom
Space-group type = No. 123
DOS(E_F) = 2.78 states/eV/f.u.

---

Record 8
Material: Sc2MnCl
Method: DFT, PBE
State: relaxed

Cell lengths 5.094, 5.094, 5.094 Å; angles 128.88, 128.88, 75.20 degrees
Last column: magnetic moment on the atom in μB.
Positions (direct):
Sc (0.500, 0.500, 0.000)  -0.50
Sc (0.000, 0.000, 0.000)  -0.50
Mn (0.750, 0.250, 0.500)  3.29
Cl (0.250, 0.750, 0.500)  0.05

Formation energy (no corrections) = -4 kJ/mol of formula units
Calculated total energy = -5.9305 eV/atom
Energy above the most stable polymorph in this dataset = 0.582 eV per atom
Space-group type = No. 139
DOS(E_F) = 4.41 states/eV/f.u.